# NdAl2Te6 (PBE-GGA, relaxed)
data_NdAl2Te6
_chemical_formula_sum 'Nd2 Al4 Te12'
_space_group_name_H-M_alt 'P 1'
_space_group_IT_number 1
_cell_length_a 7.7506
_cell_length_b 9.5789
_cell_length_c 9.5789
_cell_angle_alpha 68.08
_cell_angle_beta 70.89
_cell_angle_gamma 70.89
loop_
_space_group_symop_operation_xyz
'x,y,z'
loop_
_atom_site_label
_atom_site_type_symbol
_atom_site_fract_x
_atom_site_fract_y
_atom_site_fract_z
Nd1 Nd 0.2500 0.1693 0.8307
Nd2 Nd 0.7500 0.8307 0.1693
Te1 Te 0.9320 0.9131 0.3863
Te2 Te 0.4320 0.3863 0.9131
Te3 Te 0.6986 0.9863 0.8121
Te4 Te 0.3014 0.0137 0.1879
Te5 Te 0.5680 0.6137 0.0869
Te6 Te 0.8014 0.1879 0.0137
Te7 Te 0.4149 0.2837 0.4338
Te8 Te 0.1986 0.8121 0.9863
Te9 Te 0.9149 0.4338 0.2837
Te10 Te 0.5851 0.7163 0.5662
Te11 Te 0.0680 0.0869 0.6137
Te12 Te 0.0851 0.5662 0.7163
Al1 Al 0.7304 0.7150 0.7849
Al2 Al 0.2304 0.7849 0.7150
Al3 Al 0.2696 0.2850 0.2151
Al4 Al 0.7696 0.2151 0.2850
# Space group: C2/c, No. 15
# Raw formation energy (eV/atom): -0.53
# Magnetic moment (μB/f.u.): 0.0
# DFT total energy (eV/cell): -71.67

# RbCdTePPd (PBE-GGA, relaxed)
data_RbCdTePPd
_chemical_formula_sum 'Rb1 Cd1 Te1 P1 Pd1'
_space_group_name_H-M_alt 'P 1'
_space_group_IT_number 1
_cell_length_a 4.6385
_cell_length_b 3.9033
_cell_length_c 7.6866
_cell_angle_alpha 90.00
_cell_angle_beta 93.29
_cell_angle_gamma 90.00
loop_
_space_group_symop_operation_xyz
'x,y,z'
loop_
_atom_site_label
_atom_site_type_symbol
_atom_site_fract_x
_atom_site_fract_y
_atom_site_fract_z
P1 P 0.0283 0.5000 0.8915
Te1 Te 0.9698 0.5000 0.3346
Cd1 Cd 0.5126 0.5000 0.0665
Pd1 Pd 0.0014 0.0000 0.0886
Rb1 Rb 0.4986 0.0000 0.6342
# Space group: Pm, No. 6
# Polymorph energy (0 for the lowest one) (kJ/mol of atoms): 0.0
# Raw formation energy (eV/atom): -0.41
# Magnetic moment (μB/f.u.): 0.0
# DFT total energy (eV/cell): -17.66

# KVRe2Ni (PBE-GGA, relaxed)
data_KVRe2Ni
_chemical_formula_sum 'K1 V1 Re2 Ni1'
_space_group_name_H-M_alt 'P 1'
_space_group_IT_number 1
_cell_length_a 4.5552
_cell_length_b 4.1598
_cell_length_c 4.5552
_cell_angle_alpha 90.00
_cell_angle_beta 90.00
_cell_angle_gamma 90.00
loop_
_space_group_symop_operation_xyz
'x,y,z'
loop_
_atom_site_label
_atom_site_type_symbol
_atom_site_fract_x
_atom_site_fract_y
_atom_site_fract_z
K1 K 0.0000 0.0000 0.0000
Re1 Re 0.0000 0.0000 0.5000
Re2 Re 0.5000 0.0000 0.0000
Ni1 Ni 0.0000 0.5000 0.0000
V1 V 0.5000 0.5000 0.5000
# Space group: P4/mmm, No. 123
# Magnetic moment (μB/f.u.): 0.7
# DFT total energy (eV/cell): -24.36

# Al3IF (PBE-GGA, relaxed)
data_Al3IF
_chemical_formula_sum 'Al3 I1 F1'
_space_group_name_H-M_alt 'P 1'
_space_group_IT_number 1
_cell_length_a 6.1116
_cell_length_b 6.1116
_cell_length_c 6.1116
_cell_angle_alpha 90.00
_cell_angle_beta 90.00
_cell_angle_gamma 90.00
loop_
_space_group_symop_operation_xyz
'x,y,z'
loop_
_atom_site_label
_atom_site_type_symbol
_atom_site_fract_x
_atom_site_fract_y
_atom_site_fract_z
Al1 Al 0.5000 0.0000 0.0000
Al2 Al 0.0000 0.0000 0.5000
Al3 Al 0.0000 0.5000 0.0000
I1 I 0.0000 0.0000 0.0000
F1 F 0.5000 0.5000 0.5000
# Space group: Pm-3m, No. 221
# Polymorph energy (0 for the lowest one) (kJ/mol of atoms): 76.6
# Raw formation energy (eV/atom): 0.70
# Magnetic moment (μB/f.u.): 0.0
# DFT total energy (eV/cell): -11.13

# LaScPt2 (PBE-GGA, relaxed)
data_LaScPt2
_chemical_formula_sum 'La2 Sc2 Pt4'
_space_group_name_H-M_alt 'P 1'
_space_group_IT_number 1
_cell_length_a 6.3030
_cell_length_b 6.3030
_cell_length_c 7.6676
_cell_angle_alpha 65.73
_cell_angle_beta 65.73
_cell_angle_gamma 90.00
loop_
_space_group_symop_operation_xyz
'x,y,z'
loop_
_atom_site_label
_atom_site_type_symbol
_atom_site_fract_x
_atom_site_fract_y
_atom_site_fract_z
Sc1 Sc 0.5000 0.5000 0.0000
Sc2 Sc 0.2500 0.7500 0.5000
Pt1 Pt 0.5923 0.1250 0.2500
Pt2 Pt 0.3750 0.4077 0.7500
Pt3 Pt 0.8750 0.8423 0.7500
Pt4 Pt 0.1577 0.6250 0.2500
La1 La 0.7500 0.2500 0.5000
La2 La 0.0000 0.0000 0.0000
# Space group: I-42d, No. 122
# Magnetic moment (μB/f.u.): 0.0
# DFT total energy (eV/cell): -50.82

# KFeOs2 (PBE-GGA, relaxed)
data_KFeOs2
_chemical_formula_sum 'K1 Fe1 Os2'
_space_group_name_H-M_alt 'P 1'
_space_group_IT_number 1
_cell_length_a 10.2833
_cell_length_b 10.2833
_cell_length_c 10.2833
_cell_angle_alpha 15.47
_cell_angle_beta 15.47
_cell_angle_gamma 15.47
loop_
_space_group_symop_operation_xyz
'x,y,z'
loop_
_atom_site_label
_atom_site_type_symbol
_atom_site_fract_x
_atom_site_fract_y
_atom_site_fract_z
Os1 Os 0.2494 0.2494 0.2494
Os2 Os 0.9856 0.9856 0.9856
Fe1 Fe 0.5141 0.5141 0.5141
K1 K 0.7509 0.7509 0.7509
# Space group: R3m, No. 160
# Polymorph energy (0 for the lowest one) (kJ/mol of atoms): 7.9
# Magnetic moment (μB/f.u.): 1.8
# DFT total energy (eV/cell): -28.65

# FePb (PBE-GGA, relaxed)
data_FePb
_chemical_formula_sum 'Fe6 Pb6'
_space_group_name_H-M_alt 'P 1'
_space_group_IT_number 1
_cell_length_a 4.4409
_cell_length_b 7.2209
_cell_length_c 7.8691
_cell_angle_alpha 90.00
_cell_angle_beta 90.00
_cell_angle_gamma 90.00
loop_
_space_group_symop_operation_xyz
'x,y,z'
loop_
_atom_site_label
_atom_site_type_symbol
_atom_site_fract_x
_atom_site_fract_y
_atom_site_fract_z
Fe1 Fe 0.0000 0.3556 0.0000
Fe2 Fe 0.5000 0.6444 0.5000
Fe3 Fe 0.5000 0.9300 0.3422
Fe4 Fe 0.5000 0.9300 0.6578
Fe5 Fe 0.0000 0.0700 0.1578
Fe6 Fe 0.0000 0.0700 0.8422
Pb1 Pb 0.5000 0.3254 0.7685
Pb2 Pb 0.0000 0.6746 0.2685
Pb3 Pb 0.5000 0.9132 0.0000
Pb4 Pb 0.0000 0.0868 0.5000
Pb5 Pb 0.0000 0.6746 0.7315
Pb6 Pb 0.5000 0.3254 0.2315
# Space group: Pmmn, No. 59
# Magnetic moment (μB/f.u.): 2.4
# DFT total energy (eV/cell): -68.06

# CdBPt3 (PBE-GGA, relaxed)
data_CdBPt3
_chemical_formula_sum 'Cd2 B2 Pt6'
_space_group_name_H-M_alt 'P 1'
_space_group_IT_number 1
_cell_length_a 5.8141
_cell_length_b 5.8141
_cell_length_c 7.5390
_cell_angle_alpha 90.00
_cell_angle_beta 90.00
_cell_angle_gamma 112.31
loop_
_space_group_symop_operation_xyz
'x,y,z'
loop_
_atom_site_label
_atom_site_type_symbol
_atom_site_fract_x
_atom_site_fract_y
_atom_site_fract_z
Pt1 Pt 0.2624 0.3346 0.2500
Pt2 Pt 0.7376 0.6654 0.7500
Pt3 Pt 0.0000 0.0000 0.5000
Pt4 Pt 0.0000 0.0000 0.0000
Pt5 Pt 0.3346 0.2624 0.7500
Pt6 Pt 0.6654 0.7376 0.2500
Cd1 Cd 0.7834 0.2166 0.7500
Cd2 Cd 0.2166 0.7834 0.2500
B1 B 0.0935 0.9065 0.7500
B2 B 0.9065 0.0935 0.2500
# Space group: Cmcm, No. 63
# Polymorph energy (0 for the lowest one) (kJ/mol of atoms): 65.4
# Magnetic moment (μB/f.u.): 0.0
# DFT total energy (eV/cell): -48.17

# ZrTaBeP2 (PBE-GGA, relaxed)
data_ZrTaBeP2
_chemical_formula_sum 'Zr1 Ta1 Be1 P2'
_space_group_name_H-M_alt 'P 1'
_space_group_IT_number 1
_cell_length_a 4.8640
_cell_length_b 5.2085
_cell_length_c 4.8640
_cell_angle_alpha 90.00
_cell_angle_beta 90.00
_cell_angle_gamma 90.00
loop_
_space_group_symop_operation_xyz
'x,y,z'
loop_
_atom_site_label
_atom_site_type_symbol
_atom_site_fract_x
_atom_site_fract_y
_atom_site_fract_z
P1 P 0.5000 0.0000 0.0000
P2 P 0.0000 0.0000 0.5000
Ta1 Ta 0.0000 0.5000 0.0000
Zr1 Zr 0.0000 0.0000 0.0000
Be1 Be 0.5000 0.5000 0.5000
# Space group: P4/mmm, No. 123
# Magnetic moment (μB/f.u.): 0.0
# DFT total energy (eV/cell): -27.32

# PmSmHgBi (PBE-GGA, relaxed)
data_PmSmHgBi
_chemical_formula_sum 'Pm1 Sm1 Hg1 Bi1'
_space_group_name_H-M_alt 'P 1'
_space_group_IT_number 1
_cell_length_a 5.4684
_cell_length_b 5.4684
_cell_length_c 5.4684
_cell_angle_alpha 60.00
_cell_angle_beta 60.00
_cell_angle_gamma 60.00
loop_
_space_group_symop_operation_xyz
'x,y,z'
loop_
_atom_site_label
_atom_site_type_symbol
_atom_site_fract_x
_atom_site_fract_y
_atom_site_fract_z
Bi1 Bi 0.7500 0.7500 0.7500
Hg1 Hg 0.2500 0.2500 0.2500
Pm1 Pm 0.5000 0.5000 0.5000
Sm1 Sm 0.0000 0.0000 0.0000
# Space group: F-43m, No. 216
# Magnetic moment (μB/f.u.): 0.0
# DFT total energy (eV/cell): -15.90